This record from the Alexandria database describes a geometry-optimized LaTcOs2 structure. The functional is PBEsol.

Cell and atoms, written as extended XYZ:
```
4
Lattice="-2.125 1.923 0.272 -1.358 -2.077 4.077 4.792 3.087 0.376" Properties=species:S:1:pos:R:3 pbc="T T T"
Os 1.352 1.335 1.130
Os -0.043 1.599 3.594
Tc -1.062 0.962 0.136
La -0.679 -1.038 2.038
```

## Properties
Polymorph energy (0 for the lowest one)   279 meV per atom
Energy of formation from the pure elements   13.13 kcal/mol of atoms
Symmetry   No. 71

***

This record from the Alexandria database describes a geometry-optimized P2PtPb structure. The functional is PBEsol.

Cell and atoms, written as extended XYZ:
```
4
Lattice="-2.366 -1.122 1.612 2.768 -0.213 3.914 -1.317 4.463 1.174" Properties=species:S:1:pos:R:3 pbc="T T T"
Pt -1.183 -0.561 0.806
P -0.658 2.231 0.587
P 1.384 -0.107 1.957
Pb -0.457 1.564 3.350
```

## Properties
Energy of formation from the pure elements   10.94 kcal/mol of atoms
Symmetry   No. 123

***

This record from the Alexandria database describes a geometry-optimized CaRuSe2 structure. The functional is PBEsol.

Cell and atoms, written as extended XYZ:
```
4
Lattice="-0.492 0.080 3.414 3.393 -1.253 0.518 0.654 6.358 -1.798" Properties=species:S:1:pos:R:3 pbc="T T T"
Ca 1.636 -0.077 1.981
Se 0.691 2.610 1.782
Se 3.292 4.464 2.113
Ru 2.942 2.789 0.359
```

## Properties
Polymorph energy (0 for the lowest one)   296 meV per atom
Formation energy without anion corrections   -0.609 eV/atom
Symmetry   No. 44

***

This record from the Alexandria database describes a geometry-optimized Mg2AlIn structure. The functional is PBEsol.

Cell and atoms, written as extended XYZ:
```
4
Lattice="4.367 0.000 0.000 0.000 4.367 0.000 -2.184 -2.184 4.323" Properties=species:S:1:pos:R:3 pbc="T T T"
In 2.184 2.184 0.000
Mg 0.000 2.184 2.161
Mg 2.184 0.000 2.161
Al 0.000 0.000 0.000
```

## Properties
Energy of formation from the pure elements   -1.04 kcal/mol of atoms
Symmetry   No. 139

***

This record from the Alexandria database describes a geometry-optimized FeCuPt2 structure. The functional is PBEsol.

Cell and atoms, written as extended XYZ:
```
4
Lattice="-0.476 3.192 -1.815 -3.225 0.512 1.745 3.707 0.059 2.907" Properties=species:S:1:pos:R:3 pbc="T T T"
Cu -1.850 1.852 -0.035
Pt 0.691 2.551 0.528
Pt 0.000 0.000 0.000
Fe -0.684 1.211 2.308
```

## Properties
Energy of formation from the pure elements   -2.56 kcal/mol of atoms
Symmetry   No. 119

***

This record from the Alexandria database describes a geometry-optimized MnGa2Au structure. The functional is PBEsol.

Cell and atoms, written as extended XYZ:
```
4
Lattice="-2.482 -1.236 -3.416 -2.380 -3.693 0.232 -4.385 0.222 0.272" Properties=species:S:1:pos:R:3 pbc="T T T"
Au -4.623 -2.353 -1.456
Ga -2.312 -1.176 -0.728
Ga -6.935 -3.529 -2.184
Mn 0.000 0.000 0.000
```

## Properties
Energy of formation from the pure elements   0.73 kcal/mol of atoms
Symmetry   No. 225

***

This record from the Alexandria database describes a geometry-optimized K2FeSO structure. The functional is PBEsol.

Cell and atoms, written as extended XYZ:
```
5
Lattice="-1.095 -1.812 -3.609 5.587 -1.600 -0.891 -0.994 -5.052 2.839" Properties=species:S:1:pos:R:3 pbc="T T T"
K -0.497 -2.526 1.419
K 2.794 -0.800 -0.446
Fe -0.547 -0.906 -1.804
S 0.000 0.000 0.000
O 1.749 -4.232 -0.831
```

## Properties
Formation energy without anion corrections   -0.034 eV/atom
Symmetry   No. 123

***

This record from the Alexandria database describes a geometry-optimized TaAg2Au structure. The functional is PBEsol.

Cell and atoms, written as extended XYZ:
```
4
Lattice="2.781 0.000 0.000 0.000 4.918 0.000 0.000 0.000 5.007" Properties=species:S:1:pos:R:3 pbc="T T T"
Au 1.391 0.000 2.503
Ag 0.000 0.000 0.000
Ag 1.391 2.459 0.000
Ta 0.000 2.459 2.503
```

## Properties
Polymorph energy (0 for the lowest one)   77 meV per atom
Energy of formation from the pure elements   4.64 kcal/mol of atoms
Symmetry   No. 47

***

This record from the Alexandria database describes a geometry-optimized TlAsP2Pb structure. The functional is PBEsol.

Cell and atoms, written as extended XYZ:
```
5
Lattice="5.181 0.000 0.000 0.000 5.181 0.000 0.000 0.000 5.360" Properties=species:S:1:pos:R:3 pbc="T T T"
Tl 2.591 2.591 2.680
P 0.000 2.591 0.000
P 2.591 0.000 0.000
Pb 0.000 0.000 0.000
As 0.000 0.000 2.680
```

## Properties
Energy of formation from the pure elements   25.19 kcal/mol of atoms
Symmetry   No. 123

***

This record from the Alexandria database describes a geometry-optimized Cd3Ni7B2 structure. The functional is PBEsol.

Cell and atoms, written as extended XYZ:
```
12
Lattice="-2.552 2.662 -3.293 -4.914 0.368 0.394 -1.772 6.460 2.884" Properties=species:S:1:pos:R:3 pbc="T T T"
Ni -1.024 2.119 0.662
Ni 0.000 0.000 0.000
Ni -3.496 2.304 0.860
Ni -8.213 7.371 -0.677
Ni -2.308 3.458 -0.994
Ni -6.930 6.032 0.979
Ni -5.742 7.186 -0.875
Cd -4.619 4.745 -0.007
Cd -4.930 2.380 -1.678
Cd -4.308 7.110 1.663
B -7.107 5.755 -0.974
B -2.130 3.735 0.959
```

## Properties
Energy of formation from the pure elements   -3.50 kcal/mol of atoms
Symmetry   No. 166

***

This record from the Alexandria database describes a geometry-optimized SrTaTi2Ir structure. The functional is PBEsol.

Cell and atoms, written as extended XYZ:
```
5
Lattice="-3.091 1.871 -3.039 -0.714 -4.263 -1.898 -3.991 -0.894 3.509" Properties=species:S:1:pos:R:3 pbc="T T T"
Ir 0.000 0.000 0.000
Sr -1.996 -0.447 1.754
Ti -1.545 0.935 -1.520
Ti -0.357 -2.132 -0.949
Ta -3.898 -1.643 -0.714
```

## Properties
Energy of formation from the pure elements   24.80 kcal/mol of atoms
Symmetry   No. 123

***

This record from the Alexandria database describes a geometry-optimized Mn2TlOs structure. The functional is PBEsol.

Cell and atoms, written as extended XYZ:
```
4
Lattice="-2.035 1.539 1.254 -2.015 -3.063 -2.734 0.489 -2.637 4.030" Properties=species:S:1:pos:R:3 pbc="T T T"
Mn -1.420 -2.020 0.174
Mn -2.141 -2.141 2.376
Tl -1.018 0.770 0.627
Os 0.245 -1.319 2.015
```

## Properties
Polymorph energy (0 for the lowest one)   101 meV per atom
Energy of formation from the pure elements   16.27 kcal/mol of atoms
Symmetry   No. 12

***

What did the eleventh record say?
This record from the Alexandria database describes a geometry-optimized SrTaTi2Ir structure. The functional is PBEsol.

Cell and atoms, written as extended XYZ:
```
5
Lattice="-3.091 1.871 -3.039 -0.714 -4.263 -1.898 -3.991 -0.894 3.509" Properties=species:S:1:pos:R:3 pbc="T T T"
Ir 0.000 0.000 0.000
Sr -1.996 -0.447 1.754
Ti -1.545 0.935 -1.520
Ti -0.357 -2.132 -0.949
Ta -3.898 -1.643 -0.714
```

## Properties
Energy of formation from the pure elements   24.80 kcal/mol of atoms
Symmetry   No. 123